No. 1
Density functional theory data (GGA-PBEsol) for MnAsSe2I after structural relaxation.

a b c (Å): 4.656 4.656 4.910
angles (deg): 90.00 90.00 90.00
Space group P4/mmm (No. 123)
Asymmetric unit:
Mn 0.000 0.000 0.000 (multiplicity 1)
As 0.000 0.000 0.500 (multiplicity 1)
Se 0.000 0.500 0.000 (multiplicity 2)
I 0.500 0.500 0.500 (multiplicity 1)

Energy relative to the elements, uncorrected   258 meV/atom

---

No. 2
Density functional theory data (GGA-PBEsol) for Li7Fe3CoP6O24 after structural relaxation.

a b c (Å): 8.2539 8.2539 22.0879
angles (deg): 90.00 90.00 120.00
Space group R3 (No. 146, hexagonal axes)
Asymmetric unit:
Li 0.0000 0.0000 0.0000 (multiplicity 3)
Li 0.0046 0.6335 0.7470 (multiplicity 9)
Li 0.0083 0.3758 0.2487 (multiplicity 9)
Fe 0.0000 0.0000 0.1747 (multiplicity 3)
Fe 0.0000 0.0000 0.6780 (multiplicity 3)
Fe 0.0000 0.0000 0.8778 (multiplicity 3)
Co 0.0000 0.0000 0.3783 (multiplicity 3)
P 0.0006 0.2987 0.7783 (multiplicity 9)
P 0.0551 0.6729 0.9479 (multiplicity 9)
O 0.0554 0.2081 0.1202 (multiplicity 9)
O 0.0821 0.2160 0.4277 (multiplicity 9)
O 0.0973 0.2350 0.7316 (multiplicity 9)
O 0.1378 0.4443 0.5056 (multiplicity 9)
O 0.1683 0.7054 0.6123 (multiplicity 9)
O 0.1700 0.7104 0.8899 (multiplicity 9)
O 0.1862 0.7498 0.0041 (multiplicity 9)
O 0.2005 0.7681 0.2882 (multiplicity 9)

Energy relative to the elements, uncorrected   -2008 meV/atom

---

> The highest energy relative to the elements, uncorrected belongs to which entry?

MnAsSe2I

---

> The highest energy relative to the elements, uncorrected belongs to which entry?

MnAsSe2I

---

> The highest energy relative to the elements, uncorrected belongs to which entry?

MnAsSe2I

---

Please write out number 2 again, unchanged.
Density functional theory data (GGA-PBEsol) for Li7Fe3CoP6O24 after structural relaxation.

a b c (Å): 8.2539 8.2539 22.0879
angles (deg): 90.00 90.00 120.00
Space group R3 (No. 146, hexagonal axes)
Asymmetric unit:
Li 0.0000 0.0000 0.0000 (multiplicity 3)
Li 0.0046 0.6335 0.7470 (multiplicity 9)
Li 0.0083 0.3758 0.2487 (multiplicity 9)
Fe 0.0000 0.0000 0.1747 (multiplicity 3)
Fe 0.0000 0.0000 0.6780 (multiplicity 3)
Fe 0.0000 0.0000 0.8778 (multiplicity 3)
Co 0.0000 0.0000 0.3783 (multiplicity 3)
P 0.0006 0.2987 0.7783 (multiplicity 9)
P 0.0551 0.6729 0.9479 (multiplicity 9)
O 0.0554 0.2081 0.1202 (multiplicity 9)
O 0.0821 0.2160 0.4277 (multiplicity 9)
O 0.0973 0.2350 0.7316 (multiplicity 9)
O 0.1378 0.4443 0.5056 (multiplicity 9)
O 0.1683 0.7054 0.6123 (multiplicity 9)
O 0.1700 0.7104 0.8899 (multiplicity 9)
O 0.1862 0.7498 0.0041 (multiplicity 9)
O 0.2005 0.7681 0.2882 (multiplicity 9)

Energy relative to the elements, uncorrected   -2008 meV/atom